YCuSi2 | Alexandria | meta-GGA SCAN | single point on PBEsol structure; DOS at the Fermi energy = 1.5 states/eV/cell; ΔE_f (raw) = -0.1939 eV/atom; space group = Cmmm (65)
1.0
-3.116 -0.999 -0.631
1.604 -2.795 0.847
-1.540 0.961 6.088
Cu Si Y
1 2 1
direct
0.500 0.500 0.000
0.000 0.000 0.193
0.000 0.000 0.807
0.500 0.500 0.500

***

SiSb2Pt | Alexandria | meta-GGA SCAN | single point on PBEsol structure; DOS at the Fermi energy = 2.0 states/eV/cell; ΔE_f (raw) = 0.0542 eV/atom; space group = P4mm (99)
1.0
-0.222 2.241 2.533
-2.976 1.077 -1.214
-3.409 -4.885 4.024
Sb Si Pt
2 1 1
direct
0.000 0.000 0.936
0.500 0.500 0.314
0.000 0.000 0.551
0.500 0.500 0.699

***

Fe2TeIr | Alexandria | meta-GGA SCAN | single point on PBEsol structure; DOS at the Fermi energy = 2.8 states/eV/cell; ΔE_f (raw) = 0.2412 eV/atom; space group = I-4m2 (119)
1.0
-2.429 2.815 0.797
-1.304 -1.969 2.980
4.563 1.255 0.401
Fe Ir Te
2 1 1
direct
0.000 0.000 0.000
0.750 0.250 0.500
0.500 0.500 0.000
0.250 0.750 0.500

***

EuCu2Sb2 | Alexandria | meta-GGA SCAN | single point on PBEsol structure; DOS at the Fermi energy = 12.0 states/eV/cell; ΔE_f (raw) = -0.5167 eV/atom; space group = P4/nmm (129)
1.0
-1.617 0.482 -4.154
4.042 -0.964 -1.685
-2.505 -10.150 -0.202
Eu Cu Sb
2 4 4
direct
0.000 0.500 0.762
0.500 0.000 0.238
0.000 0.000 0.000
0.500 0.500 0.000
0.000 0.500 0.368
0.500 0.000 0.632
0.000 0.000 0.500
0.500 0.500 0.500
0.000 0.500 0.129
0.500 0.000 0.871

***

Question: The highest DOS at the Fermi energy belongs to which entry?
Answer: EuCu2Sb2